Density functional theory data (GGA-PBE) for Ba2BeCu after structural relaxation. Values from VASP.

Structure (Quantum ESPRESSO input):
```
&SYSTEM
  ibrav = 0, nat = 4, ntyp = 3
/
ATOMIC_SPECIES
Ba 137.33 Ba.upf
Be 9.01 Be.upf
Cu 63.55 Cu.upf
CELL_PARAMETERS angstrom
4.329 0.000 0.000
0.000 2.240 7.294
0.000 -2.240 7.294
ATOMIC_POSITIONS angstrom
Ba 0.000 0.000 0.000
Ba 2.165 0.000 3.800
Be 0.000 0.000 9.616
Cu 2.165 0.000 8.816
```

Computed properties:
The formation energy comes out at 204 meV per atom.



Density functional theory data (GGA-PBE) for BaBe3Cu after structural relaxation. Values from VASP.

Structure (Quantum ESPRESSO input):
```
&SYSTEM
  ibrav = 0, nat = 5, ntyp = 3
/
ATOMIC_SPECIES
Ba 137.33 Ba.upf
Be 9.01 Be.upf
Cu 63.55 Cu.upf
CELL_PARAMETERS angstrom
5.575 0.000 0.000
0.000 5.575 0.000
0.000 0.000 5.575
ATOMIC_POSITIONS angstrom
Ba 0.000 0.000 0.000
Be 0.000 0.000 2.787
Be 0.000 2.787 0.000
Be 2.787 0.000 0.000
Cu 2.787 2.787 2.787
```

Computed properties:
The formation energy comes out at 2406 meV per atom. As for the energy above the most stable polymorph in this dataset: 1958 meV/atom.



Density functional theory data (GGA-PBE) for Ba2BeCu after structural relaxation. Values from VASP.

Structure (Quantum ESPRESSO input):
```
&SYSTEM
  ibrav = 0, nat = 4, ntyp = 3
/
ATOMIC_SPECIES
Ba 137.33 Ba.upf
Be 9.01 Be.upf
Cu 63.55 Cu.upf
CELL_PARAMETERS angstrom
2.157 1.246 8.567
-2.157 1.246 8.567
0.000 -2.491 8.567
ATOMIC_POSITIONS angstrom
Ba 0.000 0.000 0.000
Ba 0.000 0.000 4.370
Be 0.000 0.000 10.754
Cu 0.000 0.000 19.317
```

Computed properties:
The formation energy comes out at 153 meV per atom.



Density functional theory data (GGA-PBE) for BaBeCu after structural relaxation. Values from VASP.

Structure (Quantum ESPRESSO input):
```
&SYSTEM
  ibrav = 0, nat = 3, ntyp = 3
/
ATOMIC_SPECIES
Ba 137.33 Ba.upf
Be 9.01 Be.upf
Cu 63.55 Cu.upf
CELL_PARAMETERS angstrom
0.000 3.449 3.449
3.449 0.000 3.449
3.449 3.449 0.000
ATOMIC_POSITIONS angstrom
Ba 0.000 0.000 0.000
Be 1.724 1.724 1.724
Cu 3.449 3.449 3.449
```

Computed properties:
The formation energy comes out at 704 meV per atom. As for the energy above the most stable polymorph in this dataset: 565 meV/atom.



Density functional theory data (GGA-PBE) for BaBe3Cu after structural relaxation. Values from VASP.

Structure (Quantum ESPRESSO input):
```
&SYSTEM
  ibrav = 0, nat = 5, ntyp = 3
/
ATOMIC_SPECIES
Ba 137.33 Ba.upf
Be 9.01 Be.upf
Cu 63.55 Cu.upf
CELL_PARAMETERS angstrom
4.430 0.000 0.000
0.000 4.430 0.000
0.000 0.000 4.430
ATOMIC_POSITIONS angstrom
Ba 0.000 0.000 0.000
Be 0.000 2.215 2.215
Be 2.215 0.000 2.215
Be 2.215 2.215 0.000
Cu 2.215 2.215 2.215
```

Computed properties:
The formation energy comes out at 448 meV per atom. As for the energy above the most stable polymorph in this dataset: 0 meV/atom.



Density functional theory data (GGA-PBE) for BaBeCu after structural relaxation. Values from VASP.

Structure (Quantum ESPRESSO input):
```
&SYSTEM
  ibrav = 0, nat = 3, ntyp = 3
/
ATOMIC_SPECIES
Ba 137.33 Ba.upf
Be 9.01 Be.upf
Cu 63.55 Cu.upf
CELL_PARAMETERS angstrom
0.000 3.683 3.683
3.683 0.000 3.683
3.683 3.683 0.000
ATOMIC_POSITIONS angstrom
Ba 0.000 0.000 0.000
Be 5.524 5.524 5.524
Cu 1.841 1.841 1.841
```

Computed properties:
The formation energy comes out at 1055 meV per atom. As for the energy above the most stable polymorph in this dataset: 917 meV/atom.



Density functional theory data (GGA-PBE) for Ba2BeCu after structural relaxation. Values from VASP.

Structure (Quantum ESPRESSO input):
```
&SYSTEM
  ibrav = 0, nat = 4, ntyp = 3
/
ATOMIC_SPECIES
Ba 137.33 Ba.upf
Be 9.01 Be.upf
Cu 63.55 Cu.upf
CELL_PARAMETERS angstrom
0.000 3.785 3.785
3.785 0.000 3.785
3.785 3.785 0.000
ATOMIC_POSITIONS angstrom
Ba 0.000 0.000 0.000
Ba 1.892 1.892 1.892
Be 3.785 3.785 3.785
Cu 5.677 5.677 5.677
```

Computed properties:
The formation energy comes out at 530 meV per atom.



Density functional theory data (GGA-PBE) for BaBeCu2F8 after structural relaxation. Values from VASP.

Structure (Quantum ESPRESSO input):
```
&SYSTEM
  ibrav = 0, nat = 12, ntyp = 4
/
ATOMIC_SPECIES
Ba 137.33 Ba.upf
Be 9.01 Be.upf
Cu 63.55 Cu.upf
F 19.00 F.upf
CELL_PARAMETERS angstrom
5.050 0.000 0.000
-2.525 4.374 0.000
0.000 0.000 6.854
ATOMIC_POSITIONS angstrom
Ba 0.000 0.000 0.000
Be 0.000 0.000 3.427
Cu 0.000 2.916 4.364
Cu 2.525 1.458 2.490
F -1.614 3.253 2.430
F 0.515 1.349 2.430
F 1.426 0.228 4.424
F 0.000 2.916 6.264
F 2.525 1.458 0.590
F 1.099 4.145 2.430
F 2.010 3.024 4.424
F 4.139 1.121 4.424
```

Computed properties:
The energy relative to the elements, uncorrected comes out at -2370 meV per atom.



Density functional theory data (GGA-PBE) for BaBe2CuF8 after structural relaxation. Values from VASP.

Structure (Quantum ESPRESSO input):
```
&SYSTEM
  ibrav = 0, nat = 12, ntyp = 4
/
ATOMIC_SPECIES
Ba 137.33 Ba.upf
Be 9.01 Be.upf
Cu 63.55 Cu.upf
F 19.00 F.upf
CELL_PARAMETERS angstrom
4.029 -2.699 0.000
4.029 2.699 0.000
-0.955 0.000 7.743
ATOMIC_POSITIONS angstrom
Ba 0.000 0.000 0.000
Be 2.325 0.000 5.541
Be 4.778 0.000 2.203
Cu -0.478 0.000 3.872
F 1.341 0.000 4.335
F 3.208 1.290 5.467
F 3.895 1.290 2.276
F 1.652 0.000 6.967
F 5.451 0.000 0.776
F 3.208 -1.290 5.467
F 3.895 -1.290 2.276
F 5.763 0.000 3.408
```

Computed properties:
The energy relative to the elements, uncorrected comes out at -2982 meV per atom.



Density functional theory data (GGA-PBE) for BaBeGa2Cu after structural relaxation. Values from VASP.

Structure (Quantum ESPRESSO input):
```
&SYSTEM
  ibrav = 0, nat = 5, ntyp = 4
/
ATOMIC_SPECIES
Ba 137.33 Ba.upf
Be 9.01 Be.upf
Ga 69.72 Ga.upf
Cu 63.55 Cu.upf
CELL_PARAMETERS angstrom
6.257 0.000 0.000
0.000 6.257 0.000
0.000 0.000 5.674
ATOMIC_POSITIONS angstrom
Ba 0.000 0.000 0.000
Be 3.129 3.129 2.837
Ga 0.000 3.129 0.000
Ga 3.129 0.000 0.000
Cu 0.000 0.000 2.837
```

Computed properties:
The formation energy comes out at 1600 meV per atom.



Density functional theory data (GGA-PBE) for BaBe2CuH8 after structural relaxation. Values from VASP.

Structure (Quantum ESPRESSO input):
```
&SYSTEM
  ibrav = 0, nat = 12, ntyp = 4
/
ATOMIC_SPECIES
Ba 137.33 Ba.upf
Be 9.01 Be.upf
Cu 63.55 Cu.upf
H 1.01 H.upf
CELL_PARAMETERS angstrom
2.307 1.332 6.494
-2.307 1.332 6.494
0.000 -2.663 6.494
ATOMIC_POSITIONS angstrom
Ba 0.000 0.000 0.000
Be 0.000 0.000 4.639
Be 0.000 0.000 14.842
Cu 0.000 0.000 9.741
H -1.378 -0.266 8.699
H -0.459 -1.326 10.783
H 0.000 0.000 6.083
H -0.919 1.060 10.783
H 0.919 -1.060 8.699
H 0.000 0.000 13.399
H 0.459 1.326 8.699
H 1.378 0.266 10.783
```

Computed properties:
The total energy comes out at -3.4071 eV/atom.



Density functional theory data (GGA-PBE) for BaBe2CuHg after structural relaxation. Values from VASP.

Structure (Quantum ESPRESSO input):
```
&SYSTEM
  ibrav = 0, nat = 5, ntyp = 4
/
ATOMIC_SPECIES
Ba 137.33 Ba.upf
Be 9.01 Be.upf
Cu 63.55 Cu.upf
Hg 200.59 Hg.upf
CELL_PARAMETERS angstrom
4.633 0.000 0.000
0.000 4.633 0.000
0.000 0.000 5.112
ATOMIC_POSITIONS angstrom
Ba 0.000 0.000 0.000
Be 0.000 2.316 2.556
Be 2.316 0.000 2.556
Cu 2.316 2.316 0.000
Hg 2.316 2.316 2.556
```

Computed properties:
The formation energy comes out at 415 meV per atom.



Density functional theory data (GGA-PBE) for BaBeIn2Cu after structural relaxation. Values from VASP.

Structure (Quantum ESPRESSO input):
```
&SYSTEM
  ibrav = 0, nat = 5, ntyp = 4
/
ATOMIC_SPECIES
Ba 137.33 Ba.upf
Be 9.01 Be.upf
In 114.82 In.upf
Cu 63.55 Cu.upf
CELL_PARAMETERS angstrom
5.042 0.000 0.000
0.000 5.042 0.000
0.000 0.000 4.465
ATOMIC_POSITIONS angstrom
Ba 0.000 0.000 0.000
Be 2.521 2.521 0.000
In 0.000 2.521 2.233
In 2.521 0.000 2.233
Cu 2.521 2.521 2.233
```

Computed properties:
The formation energy comes out at 175 meV per atom.



Density functional theory data (GGA-PBE) for Ba2LiBeCu after structural relaxation. Values from VASP.

Structure (Quantum ESPRESSO input):
```
&SYSTEM
  ibrav = 0, nat = 5, ntyp = 4
/
ATOMIC_SPECIES
Ba 137.33 Ba.upf
Li 6.94 Li.upf
Be 9.01 Be.upf
Cu 63.55 Cu.upf
CELL_PARAMETERS angstrom
6.235 0.000 0.000
0.000 6.235 0.000
0.000 0.000 4.378
ATOMIC_POSITIONS angstrom
Ba 0.000 3.118 0.000
Ba 3.118 0.000 0.000
Li 0.000 0.000 2.189
Be 3.118 3.118 2.189
Cu 3.118 3.118 0.000
```

Computed properties:
The formation energy comes out at 243 meV per atom. As for the energy above the most stable polymorph in this dataset: 0 meV/atom.



Density functional theory data (GGA-PBE) for Ba3Be2CuO6 after structural relaxation. Values from VASP.

Structure (Quantum ESPRESSO input):
```
&SYSTEM
  ibrav = 0, nat = 12, ntyp = 4
/
ATOMIC_SPECIES
Ba 137.33 Ba.upf
Be 9.01 Be.upf
Cu 63.55 Cu.upf
O 16.00 O.upf
CELL_PARAMETERS angstrom
5.700 0.000 0.000
-2.850 4.936 0.000
0.000 0.000 6.801
ATOMIC_POSITIONS angstrom
Ba 0.000 0.000 0.000
Ba 0.000 3.291 4.584
Ba 2.850 1.645 2.217
Be 0.000 3.291 1.866
Be 2.850 1.645 4.936
Cu 0.000 0.000 3.401
O 0.000 1.749 2.012
O -1.335 4.062 2.012
O 1.515 0.875 4.789
O 1.335 4.062 2.012
O 4.185 0.875 4.789
O 2.850 3.187 4.789
```

Computed properties:
The energy relative to the elements, uncorrected comes out at -2125 meV per atom.



Density functional theory data (GGA-PBE) for Ba2BeCuO4 after structural relaxation. Values from VASP.

Structure (Quantum ESPRESSO input):
```
&SYSTEM
  ibrav = 0, nat = 16, ntyp = 4
/
ATOMIC_SPECIES
Ba 137.33 Ba.upf
Be 9.01 Be.upf
Cu 63.55 Cu.upf
O 16.00 O.upf
CELL_PARAMETERS angstrom
0.000 5.507 9.481
2.369 0.000 9.481
2.369 5.507 0.000
ATOMIC_POSITIONS angstrom
Ba 1.777 4.130 0.956
Ba 2.961 6.884 5.697
Ba 1.777 4.130 13.266
Ba 2.961 6.884 18.007
Be 0.592 1.377 2.370
Be 4.145 9.637 16.592
Cu 1.777 4.130 7.111
Cu 2.961 6.884 11.852
O 1.546 2.404 3.280
O 3.192 5.157 8.021
O 2.007 5.857 3.280
O 2.007 2.404 10.942
O 2.730 8.610 8.021
O 2.730 5.157 15.683
O 1.546 5.857 10.942
O 3.192 8.610 15.683
```

Computed properties:
The energy relative to the elements, uncorrected comes out at -1972 meV per atom.



Density functional theory data (GGA-PBE) for BaBeCuP2 after structural relaxation. Values from VASP.

Structure (Quantum ESPRESSO input):
```
&SYSTEM
  ibrav = 0, nat = 10, ntyp = 4
/
ATOMIC_SPECIES
Ba 137.33 Ba.upf
Be 9.01 Be.upf
Cu 63.55 Cu.upf
P 30.97 P.upf
CELL_PARAMETERS angstrom
5.724 -1.932 0.000
5.724 1.932 0.000
-0.667 0.000 9.080
ATOMIC_POSITIONS angstrom
Ba 1.622 0.000 1.570
Ba 9.159 0.000 7.510
Be 4.716 0.000 2.818
Be 6.066 0.000 6.262
Cu 1.696 0.000 5.071
Cu 9.085 0.000 4.009
P 0.890 0.000 7.301
P 4.193 0.000 5.020
P 6.588 0.000 4.060
P 9.891 0.000 1.779
```

Computed properties:
The formation energy comes out at -538 meV per atom.



Density functional theory data (GGA-PBE) for BaBeCuPb2 after structural relaxation. Values from VASP.

Structure (Quantum ESPRESSO input):
```
&SYSTEM
  ibrav = 0, nat = 5, ntyp = 4
/
ATOMIC_SPECIES
Ba 137.33 Ba.upf
Be 9.01 Be.upf
Cu 63.55 Cu.upf
Pb 207.20 Pb.upf
CELL_PARAMETERS angstrom
6.529 0.000 0.000
0.000 6.529 0.000
0.000 0.000 5.473
ATOMIC_POSITIONS angstrom
Ba 0.000 0.000 0.000
Be 3.264 3.264 2.736
Cu 0.000 0.000 2.736
Pb 0.000 3.264 0.000
Pb 3.264 0.000 0.000
```

Computed properties:
The formation energy comes out at 1582 meV per atom.



Density functional theory data (GGA-PBE) for Ba2BeCuPd after structural relaxation. Values from VASP.

Structure (Quantum ESPRESSO input):
```
&SYSTEM
  ibrav = 0, nat = 5, ntyp = 4
/
ATOMIC_SPECIES
Ba 137.33 Ba.upf
Be 9.01 Be.upf
Cu 63.55 Cu.upf
Pd 106.42 Pd.upf
CELL_PARAMETERS angstrom
5.938 0.000 0.000
0.000 5.938 0.000
0.000 0.000 4.264
ATOMIC_POSITIONS angstrom
Ba 0.000 2.969 0.000
Ba 2.969 0.000 0.000
Be 0.000 0.000 2.132
Cu 0.000 0.000 0.000
Pd 2.969 2.969 2.132
```

Computed properties:
The formation energy comes out at 150 meV per atom.



Density functional theory data (GGA-PBE) for RbBa2BeCu after structural relaxation. Values from VASP.

Structure (Quantum ESPRESSO input):
```
&SYSTEM
  ibrav = 0, nat = 5, ntyp = 4
/
ATOMIC_SPECIES
Rb 85.47 Rb.upf
Ba 137.33 Ba.upf
Be 9.01 Be.upf
Cu 63.55 Cu.upf
CELL_PARAMETERS angstrom
6.164 0.000 0.000
0.000 6.164 0.000
0.000 0.000 6.371
ATOMIC_POSITIONS angstrom
Rb 0.000 0.000 0.000
Ba 0.000 3.082 3.186
Ba 3.082 0.000 3.186
Be 0.000 0.000 3.186
Cu 3.082 3.082 0.000
```

Computed properties:
The formation energy comes out at 677 meV per atom.



Density functional theory data (GGA-PBE) for BaBe2CuS4 after structural relaxation. Values from VASP.

Structure (Quantum ESPRESSO input):
```
&SYSTEM
  ibrav = 0, nat = 8, ntyp = 4
/
ATOMIC_SPECIES
Ba 137.33 Ba.upf
Be 9.01 Be.upf
Cu 63.55 Cu.upf
S 32.06 S.upf
CELL_PARAMETERS angstrom
-3.051 3.636 4.143
3.051 -3.636 4.143
3.051 3.636 -4.143
ATOMIC_POSITIONS angstrom
Ba 0.000 0.000 0.000
Be 3.051 0.000 2.677
Be 0.000 3.636 1.466
Cu 0.000 0.000 4.143
S 1.577 2.564 -1.437
S 1.475 1.072 2.706
S 1.475 -1.072 5.581
S 1.577 4.709 1.437
```

Computed properties:
The energy relative to the elements, uncorrected comes out at -787 meV per atom.



Density functional theory data (GGA-PBE) for BaBe2VCu after structural relaxation. Values from VASP.

Structure (Quantum ESPRESSO input):
```
&SYSTEM
  ibrav = 0, nat = 5, ntyp = 4
/
ATOMIC_SPECIES
Ba 137.33 Ba.upf
Be 9.01 Be.upf
V 50.94 V.upf
Cu 63.55 Cu.upf
CELL_PARAMETERS angstrom
4.726 0.000 0.000
0.000 4.726 0.000
0.000 0.000 4.924
ATOMIC_POSITIONS angstrom
Ba 0.000 0.000 0.000
Be 0.000 2.363 2.462
Be 2.363 0.000 2.462
V 2.363 2.363 2.462
Cu 2.363 2.363 0.000
```

Computed properties:
The formation energy comes out at 800 meV per atom.



Density functional theory data (GGA-PBE) for BaZrBe2Cu after structural relaxation. Values from VASP.

Structure (Quantum ESPRESSO input):
```
&SYSTEM
  ibrav = 0, nat = 5, ntyp = 4
/
ATOMIC_SPECIES
Ba 137.33 Ba.upf
Zr 91.22 Zr.upf
Be 9.01 Be.upf
Cu 63.55 Cu.upf
CELL_PARAMETERS angstrom
4.469 0.000 0.000
0.000 4.469 0.000
0.000 0.000 5.085
ATOMIC_POSITIONS angstrom
Ba 0.000 0.000 0.000
Zr 2.235 2.235 0.000
Be 0.000 2.235 2.543
Be 2.235 0.000 2.543
Cu 2.235 2.235 2.543
```

Computed properties:
The formation energy comes out at 629 meV per atom.



Density functional theory data (GGA-PBE) for BaDyBeN2 after structural relaxation. Values from VASP.

Structure (Quantum ESPRESSO input):
```
&SYSTEM
  ibrav = 0, nat = 10, ntyp = 4
/
ATOMIC_SPECIES
Ba 137.33 Ba.upf
Dy 162.50 Dy.upf
Be 9.01 Be.upf
N 14.01 N.upf
CELL_PARAMETERS angstrom
5.217 0.000 0.000
0.000 5.723 0.000
0.000 0.000 6.814
ATOMIC_POSITIONS angstrom
Ba 0.000 0.000 1.703
Ba 0.000 0.000 5.110
Dy 2.609 2.861 1.703
Dy 2.609 2.861 5.110
Be 0.000 2.861 0.000
Be 0.000 2.861 3.407
N 1.267 1.977 0.000
N 1.267 3.746 3.407
N 3.950 1.977 3.407
N 3.950 3.746 0.000
```

Computed properties:
The energy relative to the elements, uncorrected comes out at -814 meV per atom.



Density functional theory data (GGA-PBE) for Ba3DyBe2O6 after structural relaxation. Values from VASP.

Structure (Quantum ESPRESSO input):
```
&SYSTEM
  ibrav = 0, nat = 12, ntyp = 4
/
ATOMIC_SPECIES
Ba 137.33 Ba.upf
Dy 162.50 Dy.upf
Be 9.01 Be.upf
O 16.00 O.upf
CELL_PARAMETERS angstrom
5.786 0.000 0.000
-2.893 5.011 0.000
0.000 0.000 7.302
ATOMIC_POSITIONS angstrom
Ba 0.000 0.000 0.000
Ba 0.000 3.341 4.988
Ba 2.893 1.670 2.315
Dy 0.000 0.000 3.651
Be 0.000 3.341 2.031
Be 2.893 1.670 5.272
O 0.000 1.790 2.250
O -1.343 4.116 2.250
O 1.550 0.895 5.052
O 1.343 4.116 2.250
O 4.236 0.895 5.052
O 2.893 3.221 5.052
```

Computed properties:
The energy relative to the elements, uncorrected comes out at -2683 meV per atom.